No. 1
DFT (PBE-GGA) results for ZnNi2HgH after structural relaxation.

Cell: 4.856 4.856 4.971 Å, 90.00 90.00 90.00°
Space group P4/mmm (No. 123)
One atom of each set of equivalent atoms:
1 Zn 0.000 0.000 0.000 (multiplicity 1)
2 Ni 0.000 0.500 0.500 (multiplicity 2)
3 Hg 0.000 0.000 0.500 (multiplicity 1)
4 H 0.500 0.500 0.000 (multiplicity 1)

Calculated values
electronic total energy	-1.7529	eV/atom
DOS at the Fermi energy	4.422	states/eV/cell

---

No. 2
DFT (PBE-GGA) results for Na3MgSb3Te8 after structural relaxation.

Cell: 14.841 8.543 9.327 Å, 90.00 122.10 90.00°
Space group C2/m (No. 12)
One atom of each set of equivalent atoms:
1 Na 0.000 0.000 0.000 (multiplicity 2)
2 Na 0.250 0.250 0.000 (multiplicity 4)
3 Mg 0.000 0.000 0.500 (multiplicity 2)
4 Sb 0.000 0.500 0.500 (multiplicity 2)
5 Sb 0.250 0.250 0.500 (multiplicity 4)
6 Te 0.007 0.241 0.280 (multiplicity 8)
7 Te 0.233 0.000 0.719 (multiplicity 4)
8 Te 0.242 0.500 0.728 (multiplicity 4)

Calculated values
DOS at the Fermi energy	22.959	states/eV/cell
raw formation energy	-399	meV per atom

---

No. 3
DFT (PBE-GGA) results for Zr4ScTl after structural relaxation.

Cell: 8.299 8.299 8.299 Å, 90.00 90.00 90.00°
Space group F-43m (No. 216)
One atom of each set of equivalent atoms:
1 Zr 0.122 0.122 0.122 (multiplicity 16)
2 Sc 0.250 0.250 0.750 (multiplicity 4)
3 Tl 0.000 0.000 0.500 (multiplicity 4)

Calculated values
formation energy from the elements	0.21	eV per atom
DOS at the Fermi energy	38.187	states/eV/cell

---

What did the second record say?
DFT (PBE-GGA) results for Na3MgSb3Te8 after structural relaxation.

Cell: 14.841 8.543 9.327 Å, 90.00 122.10 90.00°
Space group C2/m (No. 12)
One atom of each set of equivalent atoms:
1 Na 0.000 0.000 0.000 (multiplicity 2)
2 Na 0.250 0.250 0.000 (multiplicity 4)
3 Mg 0.000 0.000 0.500 (multiplicity 2)
4 Sb 0.000 0.500 0.500 (multiplicity 2)
5 Sb 0.250 0.250 0.500 (multiplicity 4)
6 Te 0.007 0.241 0.280 (multiplicity 8)
7 Te 0.233 0.000 0.719 (multiplicity 4)
8 Te 0.242 0.500 0.728 (multiplicity 4)

Calculated values
DOS at the Fermi energy	22.959	states/eV/cell
raw formation energy	-399	meV per atom

---

> Which of these has the highest DOS at the Fermi energy?

Zr4ScTl

---

> Which value of DOS at the Fermi energy does entry 3 give?

38.187 states/eV/cell

---

> Look up the DOS at the Fermi energy of the second one.

22.959 states/eV/cell